Entry 1:
DFT (PBE) results for crystalline TaBe2Tc at its relaxed geometry.

a = 2.6437 Å, b = 2.7704 Å, c = 6.7813 Å
α = 90.00°, β = 90.00°, γ = 90.00°
With the nearest neighbours (Å) after each atom.
Atoms (fractional coordinates):
Be1 0.0000 0.0000 0.0389  4 Be 2.20
Be2 0.5000 0.5000 0.1973  4 Be 2.20
Ta1 0.0000 0.0000 0.4611  5 Be 2.62-2.86, 4 Ta 2.64-2.77
Tc1 0.5000 0.5000 0.8027  5 Be 2.50-2.68, 4 Tc 2.64-2.77

Calculated values
ΔE to the lowest computed polymorph: 0.440 eV/atom
symmetry: Pmm2 (25)
DFT total energy: -7.362 eV/atom
formation energy: 0.2 eV per formula unit

---

Entry 2:
DFT (PBE) results for crystalline SmDyGePd at its relaxed geometry.

a = 5.0671 Å, b = 5.0671 Å, c = 5.0671 Å
α = 60.00°, β = 60.00°, γ = 60.00°
With the nearest neighbours (Å) after each atom.
Atoms (fractional coordinates):
Sm1 0.0000 0.0000 0.0000  4 Pd 3.10, 4 Ge 3.10
Dy1 0.5000 0.5000 0.5000  4 Ge 3.10, 4 Pd 3.10
Ge1 0.2500 0.2500 0.2500  4 Sm 3.10, 4 Dy 3.10
Pd1 0.7500 0.7500 0.7500  4 Dy 3.10, 4 Sm 3.10

Calculated values
ΔE to the lowest computed polymorph: 0.089 eV/atom
symmetry: F-43m (216)
DFT total energy: -5.560 eV/atom
formation energy: -3.1 eV per formula unit

---

> Among the records above, which one has the highest formation energy?

TaBe2Tc